VASP calculation (GGA-PBE) on a geometry-optimized Zr2InRu structure.

Cell lengths 3.3063, 3.3063, 7.3545 Å; angles 90.00, 90.00, 90.00 degrees
Closest atoms and distances in Å follow each position.
Fractional positions:
Zr 0.0000 0.0000 0.9606  4 Ru 2.77
In 0.0000 0.0000 0.5333  4 Ru 2.87, 5 Zr 3.14-3.15
Zr 0.5000 0.5000 0.2463  8 Zr 3.14-3.31, 4 In 3.15
Ru 0.5000 0.5000 0.7598  4 Zr 2.77, 4 In 2.87

Computed properties:
DOS(E_F) (states/eV/atom): 0.884
Raw total energy (eV per atom): -7.56
Symmetry: P4mm, No. 99

VASP calculation (GGA-PBE) on a geometry-optimized Si3Pb structure.

Cell lengths 3.7199, 3.7200, 6.0262 Å; angles 90.00, 90.00, 90.00 degrees
Closest atoms and distances in Å follow each position.
Fractional positions:
Pb 0.0000 0.0000 0.0334  8 Si 3.13-3.20
Si 0.5000 0.5000 0.7319  4 Si 2.52
Si 0.5000 0.0000 0.4507  6 Si 2.52-2.63
Si 0.0000 0.5000 0.4507  6 Si 2.52-2.63

Computed properties:
DOS(E_F) (states/eV/atom): 0.399
Raw total energy (eV per atom): -4.58
Symmetry: P4mm, No. 99
Energy relative to the elements, uncorrected (eV/atom): 0.411

VASP calculation (GGA-PBE) on a geometry-optimized PrScTc structure.

Cell lengths 3.4389, 3.4389, 6.5203 Å; angles 105.29, 105.29, 90.00 degrees
Closest atoms and distances in Å follow each position.
Fractional positions:
Pr 0.0277 0.0277 0.0554  4 Tc 3.04, 1 Sc 3.21
Sc 0.2934 0.2934 0.5868  4 Tc 2.80
Tc 0.6789 0.6789 0.3578  4 Sc 2.80, 4 Pr 3.04

Computed properties:
DOS(E_F) (states/eV/atom): 1.364
Raw total energy (eV per atom): -7.13
Symmetry: I4mm, No. 107